Entry 1:
MnBPO2 | GGA+U | optimized geometry

a = 3.5526 Å, b = 3.5526 Å, c = 5.2229 Å
α = 90.00°, β = 90.00°, γ = 90.00°
Each line ends with the local moment (μB).
Positions (direct):
P  0.0000  0.0000  0.5000  -0.20
B  0.5000  0.5000  0.5000  0.02
Mn  0.0000  0.0000  0.0000  3.16
O  0.0000  0.5000  0.0000  -0.24
O  0.5000  0.0000  0.0000  -0.24

***

Entry 2:
MnBPO2 | GGA+U | optimized geometry

a = 3.1817 Å, b = 3.1817 Å, c = 6.5600 Å
α = 90.00°, β = 90.00°, γ = 90.00°
Each line ends with the local moment (μB).
Positions (direct):
P  0.0000  0.0000  0.5000  -0.17
B  0.0000  0.0000  0.0000  0.00
Mn  0.5000  0.5000  0.5000  3.88
O  0.0000  0.5000  0.0000  0.07
O  0.5000  0.0000  0.0000  0.07

***

Entry 3:
PaMnB2O8 | GGA+U | optimized geometry

a = 5.1796 Å, b = 5.1796 Å, c = 5.6027 Å
α = 90.00°, β = 90.00°, γ = 120.00°
Each line ends with the local moment (μB).
Positions (direct):
Pa  0.0000  0.0000  0.0000  -0.01
Mn  0.0000  0.0000  0.5000  2.10
B  0.6667  0.3333  0.3687  -0.02
B  0.3333  0.6667  0.6313  -0.02
O  0.8246  0.1754  0.2746  0.05
O  0.8246  0.6491  0.2746  0.05
O  0.3509  0.1754  0.2746  0.05
O  0.6491  0.8246  0.7254  0.05
O  0.3333  0.6667  0.3778  0.64
O  0.6667  0.3333  0.6222  0.64
O  0.1754  0.8246  0.7254  0.05
O  0.1754  0.3509  0.7254  0.05

***

Which energy belongs to each record? In order, -27.622 -30.162 -92.263 eV/cell.